(1)
## VPd3Se6 (PBE)

Data for crystalline VPd3Se6 at its relaxed geometry.

Structure (POSCAR):
```
VPd3Se6
1.0
5.362 3.096 4.331
-5.362 3.096 4.331
0.000 -6.191 4.331
V Pd Se
2 6 12
direct
0.000 0.000 0.000
0.500 0.500 0.500
0.054 0.745 0.585
0.255 0.415 0.946
0.415 0.946 0.255
0.585 0.054 0.745
0.745 0.585 0.054
0.946 0.255 0.415
0.034 0.684 0.911
0.089 0.966 0.316
0.188 0.429 0.587
0.316 0.089 0.966
0.413 0.812 0.571
0.429 0.587 0.188
0.571 0.413 0.812
0.587 0.188 0.429
0.684 0.911 0.034
0.812 0.571 0.413
0.911 0.034 0.684
0.966 0.316 0.089
```

Calculated values
Formation energy (no corrections) = -280.9 meV/atom



(2)
## RbZn2SiSe4 (PBE)

Data for crystalline RbZn2SiSe4 at its relaxed geometry.

Structure (POSCAR):
```
RbZn2SiSe4
1.0
0.000 4.914 4.531
4.890 0.000 4.531
4.890 4.914 0.000
Rb Zn Si Se
1 2 1 4
direct
0.000 0.000 0.000
0.251 0.251 0.249
0.751 0.751 0.749
0.498 0.498 0.502
0.156 0.539 0.844
0.458 0.839 0.161
0.539 0.156 0.461
0.839 0.458 0.542
```

Calculated values
Formation energy (no corrections) = -539.7 meV/atom



(3)
## YHf2Ir2 (PBE)

Data for crystalline YHf2Ir2 at its relaxed geometry.

Structure (POSCAR):
```
YHf2Ir2
1.0
7.914 0.000 0.000
0.000 7.914 0.000
0.000 0.000 3.202
Y Hf Ir
2 4 4
direct
0.000 0.000 0.000
0.500 0.500 0.000
0.153 0.347 0.500
0.347 0.847 0.500
0.653 0.153 0.500
0.847 0.653 0.500
0.138 0.638 0.000
0.362 0.138 0.000
0.638 0.862 0.000
0.862 0.362 0.000
```

Calculated values
Relative energy among the computed polymorphs = 140.5 meV per atom



(4)
## AgRh (PBE)

Data for crystalline AgRh at its relaxed geometry.

Structure (POSCAR):
```
AgRh
1.0
4.287 0.000 0.000
-2.143 3.712 0.000
0.000 0.000 4.834
Ag Rh
2 2
direct
0.333 0.667 0.250
0.667 0.333 0.750
0.000 0.000 0.000
0.000 0.000 0.500
```



Going through the records in order, we get raw total energy values of -4.8413, -3.3992, -9.5083, -4.3516 eV/atom.